*1*
Zr2Zn3Ga | PBE | relaxed

Geometry as CIF:
```
data_Zr2Zn3Ga
_cell_length_a 3.2463
_cell_length_b 4.3172
_cell_length_c 7.4743
_cell_angle_alpha 90.00
_cell_angle_beta 90.00
_cell_angle_gamma 90.00
_symmetry_space_group_name_H-M 'P m m 2'
_symmetry_Int_Tables_number 25
_symmetry_space_group_name_Hall 'P 2 -2'
loop_
_atom_site_label
_atom_site_type_symbol
_atom_site_fract_x
_atom_site_fract_y
_atom_site_fract_z
_atom_site_occupancy
Zr1 Zr 0.0000 0.0000 0.0000 1
Zr2 Zr 0.0000 0.5000 0.4972 1
Zn1 Zn 0.5000 0.0000 0.6687 1
Zn2 Zn 0.5000 0.5000 0.1618 1
Zn3 Zn 0.5000 0.5000 0.8301 1
Ga1 Ga 0.5000 0.0000 0.3339 1
```

=====

*2*
Zr2Zn3Ga | PBE | relaxed

Geometry as CIF:
```
data_Zr2Zn3Ga
_cell_length_a 6.4888
_cell_length_b 8.6418
_cell_length_c 14.9255
_cell_angle_alpha 90.00
_cell_angle_beta 90.00
_cell_angle_gamma 90.00
_symmetry_space_group_name_H-M 'F m m m'
_symmetry_Int_Tables_number 69
_symmetry_space_group_name_Hall '-F 2 2'
loop_
_atom_site_label
_atom_site_type_symbol
_atom_site_fract_x
_atom_site_fract_y
_atom_site_fract_z
_atom_site_occupancy
Zr1 Zr 0.2486 0.0000 0.0000 1
Zr2 Zr 0.2500 0.2500 0.2500 1
Zn1 Zn 0.0000 0.0000 0.1659 1
Zn2 Zn 0.0000 0.2490 0.0828 1
Ga1 Ga 0.0000 0.0000 0.3337 1
```

=====

Bottom line: *2*, by a margin of 11 meV/atom.

=====

*1*
Zr3Ga2 | PBE | relaxed

Geometry as CIF:
```
data_Zr3Ga2
_cell_length_a 7.3550
_cell_length_b 7.3550
_cell_length_c 3.7198
_cell_angle_alpha 90.00
_cell_angle_beta 90.00
_cell_angle_gamma 90.00
_symmetry_space_group_name_H-M 'P 4/m b m'
_symmetry_Int_Tables_number 127
_symmetry_space_group_name_Hall '-P 4 2ab'
loop_
_atom_site_label
_atom_site_type_symbol
_atom_site_fract_x
_atom_site_fract_y
_atom_site_fract_z
_atom_site_occupancy
Zr1 Zr 0.0000 0.0000 0.0000 1
Zr2 Zr 0.1766 0.3234 0.5000 1
Ga1 Ga 0.1232 0.6232 0.0000 1
```

=====

*2*
Zr3Ga2 | PBE | relaxed

Geometry as CIF:
```
data_Zr3Ga2
_cell_length_a 4.1225
_cell_length_b 6.1046
_cell_length_c 8.0768
_cell_angle_alpha 90.00
_cell_angle_beta 90.00
_cell_angle_gamma 90.00
_symmetry_space_group_name_H-M 'I m m m'
_symmetry_Int_Tables_number 71
_symmetry_space_group_name_Hall '-I 2 2'
loop_
_atom_site_label
_atom_site_type_symbol
_atom_site_fract_x
_atom_site_fract_y
_atom_site_fract_z
_atom_site_occupancy
Zr1 Zr 0.0000 0.0000 0.0000 1
Zr2 Zr 0.0000 0.5000 0.2058 1
Ga1 Ga 0.0000 0.2048 0.5000 1
```

=====

Bottom line: *1*, by a margin of 86 meV/atom.

=====

*1*
Zr3Ga5 | PBE | relaxed

Geometry as CIF:
```
data_Zr3Ga5
_cell_length_a 11.1208
_cell_length_b 9.0837
_cell_length_c 5.7415
_cell_angle_alpha 90.00
_cell_angle_beta 90.00
_cell_angle_gamma 90.00
_symmetry_space_group_name_H-M 'P n m a'
_symmetry_Int_Tables_number 62
_symmetry_space_group_name_Hall '-P 2ac 2n'
loop_
_atom_site_label
_atom_site_type_symbol
_atom_site_fract_x
_atom_site_fract_y
_atom_site_fract_z
_atom_site_occupancy
Zr1 Zr 0.0686 0.2500 0.1369 1
Zr2 Zr 0.1480 0.5021 0.6223 1
Ga1 Ga 0.0010 0.7500 0.4013 1
Ga2 Ga 0.0908 0.5517 0.1289 1
Ga3 Ga 0.2140 0.7500 0.8899 1
Ga4 Ga 0.2397 0.7500 0.3523 1
```

=====

*2*
Zr3Ga5 | PBE | relaxed

Geometry as CIF:
```
data_Zr3Ga5
_cell_length_a 8.8930
_cell_length_b 7.1510
_cell_length_c 9.0932
_cell_angle_alpha 90.00
_cell_angle_beta 90.00
_cell_angle_gamma 90.00
_symmetry_space_group_name_H-M 'C m c m'
_symmetry_Int_Tables_number 63
_symmetry_space_group_name_Hall '-C 2c 2'
loop_
_atom_site_label
_atom_site_type_symbol
_atom_site_fract_x
_atom_site_fract_y
_atom_site_fract_z
_atom_site_occupancy
Zr1 Zr 0.0000 0.1366 0.2500 1
Zr2 Zr 0.2049 0.5000 0.0000 1
Ga1 Ga 0.0000 0.1842 0.5501 1
Ga2 Ga 0.0000 0.4832 0.7500 1
Ga3 Ga 0.2095 0.2116 0.7500 1
```

=====

Bottom line: *2*, by a margin of 10 meV/atom.

=====

*1*
GdHoGe | PBE | relaxed

Geometry as CIF:
```
data_GdHoGe
_cell_length_a 4.7272
_cell_length_b 4.7272
_cell_length_c 4.1513
_cell_angle_alpha 90.00
_cell_angle_beta 90.00
_cell_angle_gamma 120.00
_symmetry_space_group_name_H-M 'P 3 m 1'
_symmetry_Int_Tables_number 156
_symmetry_space_group_name_Hall 'P 3 -2"'
loop_
_atom_site_label
_atom_site_type_symbol
_atom_site_fract_x
_atom_site_fract_y
_atom_site_fract_z
_atom_site_occupancy
Gd1 Gd 0.0000 0.0000 0.0000 1
Ho1 Ho 0.3333 0.6667 0.4770 1
Ge1 Ge 0.6667 0.3333 0.6557 1
```

=====

*2*
GdHoGe | PBE | relaxed

Geometry as CIF:
```
data_GdHoGe
_cell_length_a 3.8412
_cell_length_b 3.8412
_cell_length_c 10.2607
_cell_angle_alpha 90.00
_cell_angle_beta 90.00
_cell_angle_gamma 90.00
_symmetry_space_group_name_H-M 'I 4 m m'
_symmetry_Int_Tables_number 107
_symmetry_space_group_name_Hall 'I 4 -2'
loop_
_atom_site_label
_atom_site_type_symbol
_atom_site_fract_x
_atom_site_fract_y
_atom_site_fract_z
_atom_site_occupancy
Gd1 Gd 0.0000 0.0000 0.0000 1
Ho1 Ho 0.0000 0.0000 0.7066 1
Ge1 Ge 0.0000 0.0000 0.3461 1
```

=====

Bottom line: *2*, by a margin of 57 meV/atom.

=====

*1*
GdInGe | PBE | relaxed

Geometry as CIF:
```
data_GdInGe
_cell_length_a 4.3569
_cell_length_b 4.3569
_cell_length_c 4.6353
_cell_angle_alpha 90.00
_cell_angle_beta 90.00
_cell_angle_gamma 120.00
_symmetry_space_group_name_H-M 'P 3 m 1'
_symmetry_Int_Tables_number 156
_symmetry_space_group_name_Hall 'P 3 -2"'
loop_
_atom_site_label
_atom_site_type_symbol
_atom_site_fract_x
_atom_site_fract_y
_atom_site_fract_z
_atom_site_occupancy
Gd1 Gd 0.0000 0.0000 0.0000 1
In1 In 0.3333 0.6667 0.4297 1
Ge1 Ge 0.6667 0.3333 0.6663 1
```

=====

*2*
GdInGe | PBE | relaxed

Geometry as CIF:
```
data_GdInGe
_cell_length_a 3.6088
_cell_length_b 3.6088
_cell_length_c 11.1111
_cell_angle_alpha 90.00
_cell_angle_beta 90.00
_cell_angle_gamma 90.00
_symmetry_space_group_name_H-M 'I 4 m m'
_symmetry_Int_Tables_number 107
_symmetry_space_group_name_Hall 'I 4 -2'
loop_
_atom_site_label
_atom_site_type_symbol
_atom_site_fract_x
_atom_site_fract_y
_atom_site_fract_z
_atom_site_occupancy
Gd1 Gd 0.0000 0.0000 0.0000 1
In1 In 0.0000 0.0000 0.3049 1
Ge1 Ge 0.0000 0.0000 0.6736 1
```

=====

Bottom line: *1*, by a margin of 151 meV/atom.

=====

*1*
GdIn2Ge | PBE | relaxed

Geometry as CIF:
```
data_GdIn2Ge
_cell_length_a 4.3766
_cell_length_b 4.3766
_cell_length_c 4.9428
_cell_angle_alpha 90.00
_cell_angle_beta 90.00
_cell_angle_gamma 90.00
_symmetry_space_group_name_H-M 'P 4/m m m'
_symmetry_Int_Tables_number 123
_symmetry_space_group_name_Hall '-P 4 2'
loop_
_atom_site_label
_atom_site_type_symbol
_atom_site_fract_x
_atom_site_fract_y
_atom_site_fract_z
_atom_site_occupancy
Gd1 Gd 0.0000 0.0000 0.0000 1
In1 In 0.0000 0.5000 0.5000 1
Ge1 Ge 0.5000 0.5000 0.0000 1
```

=====

*2*
GdIn2Ge | PBE | relaxed

Geometry as CIF:
```
data_GdIn2Ge
_cell_length_a 3.4300
_cell_length_b 3.4300
_cell_length_c 32.6615
_cell_angle_alpha 90.00
_cell_angle_beta 90.00
_cell_angle_gamma 120.00
_symmetry_space_group_name_H-M 'R -3 m'
_symmetry_Int_Tables_number 166
_symmetry_space_group_name_Hall '-R 3 2"'
loop_
_atom_site_label
_atom_site_type_symbol
_atom_site_fract_x
_atom_site_fract_y
_atom_site_fract_z
_atom_site_occupancy
Gd1 Gd 0.0000 0.0000 0.0000 1
In1 In 0.0000 0.0000 0.0970 1
Ge1 Ge 0.0000 0.0000 0.5000 1
```

=====

Bottom line: *1*, by a margin of 609 meV/atom.

=====

*1*
Gd2InGe | PBE | relaxed

Geometry as CIF:
```
data_Gd2InGe
_cell_length_a 4.1360
_cell_length_b 4.1360
_cell_length_c 23.7010
_cell_angle_alpha 90.00
_cell_angle_beta 90.00
_cell_angle_gamma 120.00
_symmetry_space_group_name_H-M 'R -3 m'
_symmetry_Int_Tables_number 166
_symmetry_space_group_name_Hall '-R 3 2"'
loop_
_atom_site_label
_atom_site_type_symbol
_atom_site_fract_x
_atom_site_fract_y
_atom_site_fract_z
_atom_site_occupancy
Gd1 Gd 0.0000 0.0000 0.2356 1
In1 In 0.0000 0.0000 0.0000 1
Ge1 Ge 0.0000 0.0000 0.5000 1
```

=====

*2*
Gd2InGe | PBE | relaxed

Geometry as CIF:
```
data_Gd2InGe
_cell_length_a 4.8275
_cell_length_b 4.8275
_cell_length_c 4.3162
_cell_angle_alpha 90.00
_cell_angle_beta 90.00
_cell_angle_gamma 90.00
_symmetry_space_group_name_H-M 'P 4/m m m'
_symmetry_Int_Tables_number 123
_symmetry_space_group_name_Hall '-P 4 2'
loop_
_atom_site_label
_atom_site_type_symbol
_atom_site_fract_x
_atom_site_fract_y
_atom_site_fract_z
_atom_site_occupancy
Gd1 Gd 0.0000 0.5000 0.0000 1
In1 In 0.0000 0.0000 0.5000 1
Ge1 Ge 0.5000 0.5000 0.5000 1
```

=====

Bottom line: *2*, by a margin of 78 meV/atom.

=====

*1*
Gd2InGe | PBE | relaxed

Geometry as CIF:
```
data_Gd2InGe
_cell_length_a 7.4317
_cell_length_b 7.4317
_cell_length_c 7.4317
_cell_angle_alpha 90.00
_cell_angle_beta 90.00
_cell_angle_gamma 90.00
_symmetry_space_group_name_H-M 'F m -3 m'
_symmetry_Int_Tables_number 225
_symmetry_space_group_name_Hall '-F 4 2 3'
loop_
_atom_site_label
_atom_site_type_symbol
_atom_site_fract_x
_atom_site_fract_y
_atom_site_fract_z
_atom_site_occupancy
Gd1 Gd 0.2500 0.2500 0.2500 1
In1 In 0.0000 0.0000 0.0000 1
Ge1 Ge 0.0000 0.0000 0.5000 1
```

=====

*2*
Gd2InGe | PBE | relaxed

Geometry as CIF:
```
data_Gd2InGe
_cell_length_a 3.8567
_cell_length_b 3.8567
_cell_length_c 6.7916
_cell_angle_alpha 90.00
_cell_angle_beta 90.00
_cell_angle_gamma 90.00
_symmetry_space_group_name_H-M 'P 4/m m m'
_symmetry_Int_Tables_number 123
_symmetry_space_group_name_Hall '-P 4 2'
loop_
_atom_site_label
_atom_site_type_symbol
_atom_site_fract_x
_atom_site_fract_y
_atom_site_fract_z
_atom_site_occupancy
Gd1 Gd 0.0000 0.0000 0.2280 1
In1 In 0.5000 0.5000 0.5000 1
Ge1 Ge 0.5000 0.5000 0.0000 1
```

=====

Bottom line: *2*, by a margin of 66 meV/atom.

=====

*1*
La2GdGe | PBE | relaxed

Geometry as CIF:
```
data_La2GdGe
_cell_length_a 4.0390
_cell_length_b 4.0390
_cell_length_c 7.4296
_cell_angle_alpha 90.00
_cell_angle_beta 90.00
_cell_angle_gamma 90.00
_symmetry_space_group_name_H-M 'P 4/m m m'
_symmetry_Int_Tables_number 123
_symmetry_space_group_name_Hall '-P 4 2'
loop_
_atom_site_label
_atom_site_type_symbol
_atom_site_fract_x
_atom_site_fract_y
_atom_site_fract_z
_atom_site_occupancy
La1 La 0.0000 0.0000 0.2030 1
Gd1 Gd 0.5000 0.5000 0.5000 1
Ge1 Ge 0.5000 0.5000 0.0000 1
```

=====

*2*
La2GdGe | PBE | relaxed

Geometry as CIF:
```
data_La2GdGe
_cell_length_a 4.8232
_cell_length_b 4.8232
_cell_length_c 4.8633
_cell_angle_alpha 90.00
_cell_angle_beta 90.00
_cell_angle_gamma 90.00
_symmetry_space_group_name_H-M 'P 4/m m m'
_symmetry_Int_Tables_number 123
_symmetry_space_group_name_Hall '-P 4 2'
loop_
_atom_site_label
_atom_site_type_symbol
_atom_site_fract_x
_atom_site_fract_y
_atom_site_fract_z
_atom_site_occupancy
La1 La 0.0000 0.5000 0.0000 1
Gd1 Gd 0.0000 0.0000 0.5000 1
Ge1 Ge 0.5000 0.5000 0.5000 1
```

=====

Bottom line: *2*, by a margin of 19 meV/atom.

=====

*1*
LaGdGe | PBE | relaxed

Geometry as CIF:
```
data_LaGdGe
_cell_length_a 4.8167
_cell_length_b 4.8167
_cell_length_c 4.3209
_cell_angle_alpha 90.00
_cell_angle_beta 90.00
_cell_angle_gamma 120.00
_symmetry_space_group_name_H-M 'P 3 m 1'
_symmetry_Int_Tables_number 156
_symmetry_space_group_name_Hall 'P 3 -2"'
loop_
_atom_site_label
_atom_site_type_symbol
_atom_site_fract_x
_atom_site_fract_y
_atom_site_fract_z
_atom_site_occupancy
La1 La 0.0000 0.0000 0.0000 1
Gd1 Gd 0.6667 0.3333 0.4639 1
Ge1 Ge 0.3333 0.6667 0.6131 1
```

=====

*2*
LaGdGe | PBE | relaxed

Geometry as CIF:
```
data_LaGdGe
_cell_length_a 7.1531
_cell_length_b 7.1531
_cell_length_c 7.1531
_cell_angle_alpha 90.00
_cell_angle_beta 90.00
_cell_angle_gamma 90.00
_symmetry_space_group_name_H-M 'F -4 3 m'
_symmetry_Int_Tables_number 216
_symmetry_space_group_name_Hall 'F -4 2 3'
loop_
_atom_site_label
_atom_site_type_symbol
_atom_site_fract_x
_atom_site_fract_y
_atom_site_fract_z
_atom_site_occupancy
La1 La 0.0000 0.0000 0.0000 1
Gd1 Gd 0.0000 0.0000 0.5000 1
Ge1 Ge 0.2500 0.2500 0.7500 1
```

=====

Bottom line: *2*, by a margin of 104 meV/atom.

=====

*1*
Gd2LuGe | PBE | relaxed

Geometry as CIF:
```
data_Gd2LuGe
_cell_length_a 4.6609
_cell_length_b 4.6609
_cell_length_c 4.7006
_cell_angle_alpha 90.00
_cell_angle_beta 90.00
_cell_angle_gamma 90.00
_symmetry_space_group_name_H-M 'P 4/m m m'
_symmetry_Int_Tables_number 123
_symmetry_space_group_name_Hall '-P 4 2'
loop_
_atom_site_label
_atom_site_type_symbol
_atom_site_fract_x
_atom_site_fract_y
_atom_site_fract_z
_atom_site_occupancy
Gd1 Gd 0.0000 0.5000 0.0000 1
Lu1 Lu 0.0000 0.0000 0.5000 1
Ge1 Ge 0.5000 0.5000 0.5000 1
```

=====

*2*
Gd2LuGe | PBE | relaxed

Geometry as CIF:
```
data_Gd2LuGe
_cell_length_a 3.4720
_cell_length_b 3.4720
_cell_length_c 34.4898
_cell_angle_alpha 90.00
_cell_angle_beta 90.00
_cell_angle_gamma 120.00
_symmetry_space_group_name_H-M 'R -3 m'
_symmetry_Int_Tables_number 166
_symmetry_space_group_name_Hall '-R 3 2"'
loop_
_atom_site_label
_atom_site_type_symbol
_atom_site_fract_x
_atom_site_fract_y
_atom_site_fract_z
_atom_site_occupancy
Gd1 Gd 0.0000 0.0000 0.0845 1
Lu1 Lu 0.0000 0.0000 0.5000 1
Ge1 Ge 0.0000 0.0000 0.0000 1
```

=====

Bottom line: *1*, by a margin of 495 meV/atom.

=====

*1*
GdMg2Ge | PBE | relaxed

Geometry as CIF:
```
data_GdMg2Ge
_cell_length_a 3.2054
_cell_length_b 3.2054
_cell_length_c 32.5875
_cell_angle_alpha 90.00
_cell_angle_beta 90.00
_cell_angle_gamma 120.00
_symmetry_space_group_name_H-M 'R -3 m'
_symmetry_Int_Tables_number 166
_symmetry_space_group_name_Hall '-R 3 2"'
loop_
_atom_site_label
_atom_site_type_symbol
_atom_site_fract_x
_atom_site_fract_y
_atom_site_fract_z
_atom_site_occupancy
Gd1 Gd 0.0000 0.0000 0.0000 1
Mg1 Mg 0.0000 0.0000 0.0978 1
Ge1 Ge 0.0000 0.0000 0.5000 1
```

=====

*2*
GdMg2Ge | PBE | relaxed

Geometry as CIF:
```
data_GdMg2Ge
_cell_length_a 4.3318
_cell_length_b 4.3318
_cell_length_c 4.7774
_cell_angle_alpha 90.00
_cell_angle_beta 90.00
_cell_angle_gamma 90.00
_symmetry_space_group_name_H-M 'P 4/m m m'
_symmetry_Int_Tables_number 123
_symmetry_space_group_name_Hall '-P 4 2'
loop_
_atom_site_label
_atom_site_type_symbol
_atom_site_fract_x
_atom_site_fract_y
_atom_site_fract_z
_atom_site_occupancy
Gd1 Gd 0.0000 0.0000 0.0000 1
Mg1 Mg 0.0000 0.5000 0.5000 1
Ge1 Ge 0.5000 0.5000 0.0000 1
```

=====

Bottom line: *2*, by a margin of 531 meV/atom.